The following is a DFT calculation (GGA-PBE) of crystalline Sr2LiIn2 at its relaxed geometry.

Properties
Its energy above the most stable polymorph in this dataset is 0.0663 eV per atom. The formation energy from the elements comes out at -0.281 eV per atom.

Cell: 8.513 8.513 4.739 Å, 90.00 90.00 90.00°
Element x y z (fractional)
Sr1 0.833 0.333 0.500
Sr2 0.167 0.667 0.500
Li1 0.500 0.500 0.000
In1 0.868 0.632 0.000
Li2 0.000 0.000 0.000
In2 0.368 0.868 0.000
Sr3 0.667 0.833 0.500
In3 0.632 0.132 0.000
In4 0.132 0.368 0.000
Sr4 0.333 0.167 0.500

The following is a DFT calculation (GGA-PBE) of crystalline Sm3Ag5Sn2 at its relaxed geometry.

Properties
The formation energy from the elements comes out at -0.250 eV per atom.

Cell: 6.112 9.751 9.751 Å, 70.19 71.74 71.74°
Last column: magnetic moment on the atom in μB.
Element x y z (fractional)
Sm1 0.651 0.555 0.144  0.01
Ag1 0.647 0.279 0.426  0.00
Ag2 0.853 0.574 0.721  0.00
Ag3 0.250 0.500 0.500  0.00
Ag4 0.147 0.426 0.279  0.00
Sn1 0.618 0.070 0.693  0.00
Sm2 0.750 0.000 0.000  0.12
Sm3 0.849 0.856 0.445  0.01
Ag5 0.456 0.794 0.794  0.00
Sn2 0.118 0.693 0.070  0.00
Sn3 0.382 0.930 0.307  0.00
Ag6 0.956 0.794 0.794  0.00
Sn4 0.882 0.307 0.930  0.00
Sm4 0.151 0.144 0.555  0.01
Ag7 0.353 0.721 0.574  0.00
Ag8 0.750 0.500 0.500  0.00
Sm5 0.349 0.445 0.856  0.01
Sm6 0.250 0.000 0.000  0.12
Ag9 0.544 0.206 0.206  0.00
Ag10 0.044 0.206 0.206  0.00